First-principles (meta-GGA SCAN) data for a crystal of ReMo2W relaxed with PBEsol, as listed in Alexandria via LeMat-Bulk.

## Properties
**Energy of formation**: 0.8 kJ/mol of atoms
**V**: 60.8 Å³/f.u.
**Energy above the most stable polymorph in this dataset**: 0.022 eV/atom

Cell lengths 2.707, 4.413, 5.174 Å; angles 90.00, 100.31, 90.00 degrees
Element x y z (fractional)
Re 0.500 0.500 0.000
Mo 0.755 0.000 0.750
Mo 0.245 0.000 0.250
W 0.000 0.500 0.500